Record 1
{
  "formula": "ZrSi2Ir",
  "functional": "GGA-PBE",
  "state": "relaxed",
  "energy_ev_per_atom": -7.7437,
  "raw_formation_energy_mev_per_atom": -680,
  "vol_a3_per_fu": 64,
  "lattice_angstrom": [[-1.3681, 1.3176, 3.5579], [-2.7484, 0.2461, -1.1479], [-1.0560, -5.0243, 1.4546]],
  "species": ["Si", "Si", "Zr", "Ir"],
  "frac_coords": [[0.0000, 0.7505, 0.5018], [0.0000, 0.7495, 0.9982], [0.5000, 0.2500, 0.2500], [0.5000, 0.7500, 0.7500]]
}

Record 2
{
  "formula": "Zr2Si5Ir3",
  "functional": "GGA-PBE",
  "state": "relaxed",
  "energy_ev_per_atom": -7.9181,
  "raw_formation_energy_mev_per_atom": -839,
  "vol_a3_per_fu": 160,
  "lattice_angstrom": [[-4.5011, 3.6289, 0.5935], [-3.1368, -0.4334, 7.3198], [2.2543, 6.9158, 3.2704]],
  "species": ["Zr", "Zr", "Zr", "Zr", "Si", "Si", "Si", "Si", "Si", "Si", "Si", "Si", "Si", "Si", "Ir", "Ir", "Ir", "Ir", "Ir", "Ir"],
  "frac_coords": [[0.8662, 0.4135, 0.8540], [0.6338, 0.1460, 0.5865], [0.1338, 0.5865, 0.1460], [0.3662, 0.8540, 0.4135], [0.8942, 0.9487, 0.2630], [0.2500, 0.5000, 0.5000], [0.4773, 0.7727, 0.7727], [0.9773, 0.7727, 0.7727], [0.0227, 0.2273, 0.2273], [0.3942, 0.2630, 0.9487], [0.7500, 0.5000, 0.5000], [0.1058, 0.0513, 0.7370], [0.5227, 0.2273, 0.2273], [0.6058, 0.7370, 0.0513], [0.2500, 0.0000, 0.0000], [0.6393, 0.4766, 0.2448], [0.1393, 0.2448, 0.4766], [0.3607, 0.5234, 0.7552], [0.8607, 0.7552, 0.5234], [0.7500, 0.0000, 0.0000]]
}